{
  "formula": "EuEr2H",
  "functional": "GGA-PBE",
  "state": "relaxed",
  "cell": [[-2.327, 1.764, -1.952], [-1.440, -1.522, -2.820], [-8.322, -3.255, 3.817]],
  "species": ["Eu", "H", "Er", "Er"],
  "fractional_positions": [[0.000, 0.000, 0.000], [0.500, 0.500, 0.500], [0.121, 0.121, 0.638], [0.879, 0.879, 0.362]],
  "spacegroup": "R-3m (166)",
  "energy_ev_per_atom": -5.713,
  "dos_at_fermi_per_ev_atom": 0.991
}